(1)
Pr5Mg4In | PBE | optimized geometry

```
10
Lattice="3.9087 0.0000 0.0000 0.0000 3.9087 0.0000 0.0000 0.0000 19.6058" Properties=species:S:1:pos:R:3 pbc="T T T"
Pr 0.0000 0.0000 0.0000
Pr 0.0000 0.0000 3.9229
Pr 0.0000 0.0000 7.8460
Pr 0.0000 0.0000 11.7599
Pr 0.0000 0.0000 15.6829
Mg 1.9543 1.9543 1.9546
Mg 1.9543 1.9543 5.8400
Mg 1.9543 1.9543 13.7658
Mg 1.9543 1.9543 17.6513
In 1.9543 1.9543 9.8029
```

Values from the calculation:
N(E_F): 12.366 states/eV/cell
Energy of formation from the pure elements: -1.88 eV/f.u.



(2)
ThPtRh | PBE | optimized geometry

```
6
Lattice="2.1847 -4.8361 0.0000 2.1847 4.8361 0.0000 0.0000 0.0000 5.7338" Properties=species:S:1:pos:R:3 pbc="T T T"
Th 2.1847 3.0829 4.3004
Th 2.1847 -3.0829 1.4335
Pt 2.1847 0.0000 0.0000
Pt 2.1847 0.0000 2.8669
Rh 2.1847 3.7047 1.4335
Rh 2.1847 -3.7047 4.3004
```

Values from the calculation:
Distance to the lowest polymorph of the same formula: 0 meV per atom
N(E_F): 3.518 states/eV/cell
Energy of formation from the pure elements: -3.12 eV/f.u.



(3)
Rb2Te5Au | PBE | optimized geometry

```
8
Lattice="-3.5653 3.5653 6.1065 3.5653 -3.5653 6.1065 3.5653 3.5653 -6.1065" Properties=species:S:1:pos:R:3 pbc="T T T"
Rb 3.5653 0.0000 0.0000
Rb 0.0000 3.5653 0.0000
Te 0.0000 0.0000 5.7721
Te 2.0117 2.0117 3.0320
Te 1.5536 -1.5536 9.1385
Te -1.5536 1.5536 9.1385
Te 1.5536 1.5536 9.1385
Au 0.0000 0.0000 3.0206
```

Values from the calculation:
N(E_F): 4.410 states/eV/cell
Formation energy without anion corrections: -0.29 eV per atom



(4)
LiHfIr4 | PBE | optimized geometry

```
6
Lattice="0.0000 3.6682 3.6682 3.6682 0.0000 3.6682 3.6682 3.6682 0.0000" Properties=species:S:1:pos:R:3 pbc="T T T"
Li 0.0000 0.0000 0.0000
Hf 5.5024 5.5024 5.5024
Ir 2.7485 2.7485 2.7485
Ir 4.5880 4.5880 2.7485
Ir 4.5880 2.7485 4.5880
Ir 2.7485 4.5880 4.5880
```

Values from the calculation:
N(E_F): 7.957 states/eV/cell
Energy of formation from the pure elements: -2.45 eV/f.u.



(5)
LiTbY2Au4 | PBE | optimized geometry

```
8
Lattice="2.5025 1.4448 8.1980 -2.5025 1.4448 8.1980 0.0000 -2.8896 8.1980" Properties=species:S:1:pos:R:3 pbc="T T T"
Li 0.0000 0.0000 0.0000
Tb 0.0000 0.0000 12.2970
Y 0.0000 0.0000 6.3092
Y 0.0000 0.0000 18.2848
Au 0.0000 0.0000 3.1476
Au 0.0000 0.0000 9.3022
Au 0.0000 0.0000 15.2918
Au 0.0000 0.0000 21.4464
```

Values from the calculation:
N(E_F): 4.718 states/eV/cell
Energy of formation from the pure elements: -6.23 eV/f.u.



(6)
GeAsPd2 | PBE | optimized geometry

```
4
Lattice="0.0000 3.1944 3.1944 3.1944 0.0000 3.1944 3.1944 3.1944 0.0000" Properties=species:S:1:pos:R:3 pbc="T T T"
Ge 0.0000 0.0000 0.0000
As 3.1944 3.1944 3.1944
Pd 1.5972 1.5972 1.5972
Pd 4.7916 4.7916 4.7916
```

Values from the calculation:
Distance to the lowest polymorph of the same formula: 159 meV per atom
N(E_F): 2.289 states/eV/cell
Energy of formation from the pure elements: -0.87 eV/f.u.



(7)
Rb2SrAu | PBE | optimized geometry

```
4
Lattice="2.2527 1.3006 13.1898 -2.2527 1.3006 13.1898 0.0000 -2.6012 13.1898" Properties=species:S:1:pos:R:3 pbc="T T T"
Rb 0.0000 0.0000 4.3645
Rb 0.0000 0.0000 35.2051
Sr 0.0000 0.0000 0.0000
Au 0.0000 0.0000 19.7848
```

Values from the calculation:
Distance to the lowest polymorph of the same formula: 74 meV per atom
N(E_F): 2.141 states/eV/cell
Energy of formation from the pure elements: -0.04 eV/f.u.



(8)
AcPrErPb | PBE | optimized geometry

```
4
Lattice="0.0000 4.0186 4.0186 4.0186 0.0000 4.0186 4.0186 4.0186 0.0000" Properties=species:S:1:pos:R:3 pbc="T T T"
Ac 0.0000 0.0000 0.0000
Pr 2.0093 2.0093 2.0093
Er 6.0280 6.0280 6.0280
Pb 4.0186 4.0186 4.0186
```

Values from the calculation:
N(E_F): 6.437 states/eV/cell
Energy of formation from the pure elements: -0.30 eV/f.u.



no.,total magnetic moment (μB per atom)
1,0.000
2,0.000
3,0.000
4,0.000
5,0.000
6,0.000
7,0.000
8,0.000